The following is a DFT calculation (PBE) of an optimized crystal structure of Hf5Ti2Tl4.

Values from the calculation:
The value obtained for the density of states at the Fermi level is 7.87 states/eV/cell. As for the space group: Immm, No. 71. For the formation energy, the calculation gives 440.0 kJ/mol of formula units. As for the calculated volume: 269.0 Å³ per cell.

Unit cell a=3.1806 b=9.9165 c=9.9926 alpha=119.75 beta=99.16 gamma=90.00
Fractional positions:
Hf 0.1825 0.4758 0.3651
Hf 0.8175 0.5242 0.6349
Hf 0.1825 0.8892 0.3651
Hf 0.5000 0.0000 0.0000
Hf 0.8175 0.1108 0.6349
Ti 0.7782 0.7782 0.5564
Ti 0.2218 0.2218 0.4436
Tl 0.5911 0.5911 0.1821
Tl 0.0000 0.2551 0.0000
Tl 0.4089 0.4089 0.8179
Tl 0.0000 0.7449 0.0000

***

The following is a DFT calculation (PBE) of an optimized crystal structure of Hf2Ti15Tl2.

Values from the calculation:
As for the energy above the lowest structure with this stoichiometry: 0.0 meV/atom. The value obtained for the density of states at the Fermi level is 24.44 states/eV/cell. As for the space group: R-3m, No. 166. For the formation energy, the calculation gives 320.0 kJ/mol of formula units. As for the calculated volume: 352.6 Å³ per cell.

Unit cell a=7.1527 b=7.1527 c=7.1527 alpha=80.60 beta=80.60 gamma=80.60
Fractional positions:
Hf 0.3293 0.3293 0.3293
Hf 0.6707 0.6707 0.6707
Ti 0.5000 0.0000 0.0000
Ti 0.0000 0.0000 0.5000
Ti 0.0000 0.5000 0.0000
Ti 0.0000 0.6880 0.3120
Ti 0.6880 0.3120 0.0000
Ti 0.3120 0.0000 0.6880
Ti 0.3120 0.6880 0.0000
Ti 0.6880 0.0000 0.3120
Ti 0.0000 0.3120 0.6880
Ti 0.1633 0.6273 0.6273
Ti 0.6273 0.6273 0.1633
Ti 0.6273 0.1633 0.6273
Ti 0.8367 0.3727 0.3727
Ti 0.3727 0.3727 0.8367
Ti 0.3727 0.8367 0.3727
Tl 0.1062 0.1062 0.1062
Tl 0.8938 0.8938 0.8938

***

The following is a DFT calculation (PBE) of an optimized crystal structure of HfZrTiTl.

Values from the calculation:
As for the energy above the lowest structure with this stoichiometry: 125.7 meV/atom. The value obtained for the density of states at the Fermi level is 4.87 states/eV/cell. As for the space group: F-43m, No. 216. For the formation energy, the calculation gives 48.9 kJ/mol of formula units. As for the calculated volume: 85.5 Å³ per cell.

Unit cell a=4.9450 b=4.9450 c=4.9450 alpha=60.00 beta=60.00 gamma=60.00
Site moments in Bohr magnetons follow the coordinates.
Fractional positions:
Tl 0.7500 0.7500 0.7500  -0.03
Hf 0.5000 0.5000 0.5000  0.15
Zr 0.0000 0.0000 0.0000  0.15
Ti 0.2500 0.2500 0.2500  1.24

***

The following is a DFT calculation (PBE) of an optimized crystal structure of HfZrTiTl.

Values from the calculation:
As for the energy above the lowest structure with this stoichiometry: 0.0 meV/atom. The value obtained for the density of states at the Fermi level is 3.35 states/eV/cell. As for the space group: P4mm, No. 99. For the formation energy, the calculation gives 0.4 kJ/mol of formula units. As for the calculated volume: 87.0 Å³ per cell.

Unit cell a=3.0949 b=3.0949 c=9.0837 alpha=90.00 beta=90.00 gamma=90.00
Fractional positions:
Hf 0.5000 0.5000 0.3463
Zr 0.5000 0.5000 0.7985
Ti 0.0000 0.0000 0.5676
Tl 0.0000 0.0000 0.0723

***

The following is a DFT calculation (PBE) of an optimized crystal structure of Tm2HfTi.

Values from the calculation:
The value obtained for the density of states at the Fermi level is 6.02 states/eV/cell. As for the space group: R-3m, No. 166. For the formation energy, the calculation gives 87.3 kJ/mol of formula units. As for the calculated volume: 96.5 Å³ per cell.

Unit cell a=3.2489 b=3.2489 c=10.7225 alpha=81.29 beta=81.29 gamma=60.00
Fractional positions:
Tm 0.7471 0.7471 0.7586
Tm 0.2529 0.2529 0.2414
Hf 0.5000 0.5000 0.5000
Ti 0.0000 0.0000 0.0000

***

The following is a DFT calculation (PBE) of an optimized crystal structure of TmHfTi.

Values from the calculation:
As for the energy above the lowest structure with this stoichiometry: 0.0 meV/atom. The value obtained for the density of states at the Fermi level is 7.43 states/eV/cell. As for the space group: R-3m, No. 166. For the formation energy, the calculation gives 42.6 kJ/mol of formula units. As for the calculated volume: 136.7 Å³ per cell.

Unit cell a=3.1990 b=3.1990 c=15.5309 alpha=84.09 beta=84.09 gamma=60.00
Fractional positions:
Hf 0.0924 0.0924 0.7228
Hf 0.9076 0.9076 0.2772
Tm 0.6332 0.6332 0.1004
Tm 0.3668 0.3668 0.8996
Ti 0.1903 0.1903 0.4292
Ti 0.8097 0.8097 0.5708

***

> Which formula does entry 1 have?

Hf5Ti2Tl4

***

> Which value of calculated volume does entry 3 give?

85.5 Å³ per cell

***

> Number 3 is which compound?

HfZrTiTl